Version A
A relaxed TaAlCrAu crystal, computed with PBE-GGA.

- SG = P4mm, No. 99
- theoretical density (Mg/m³) = 12.08
- V (A^3/atom) = 15.7

abc: 3.213 3.213 6.086
angles: 90.00 90.00 90.00
Fractional positions:
Ta 0.000 0.000 0.000
Al 0.000 0.000 0.447
Cr 0.500 0.500 0.202
Au 0.500 0.500 0.690



Version B
A relaxed TaAlCrAu crystal, computed with PBE-GGA.

- SG = Cm, No. 8
- theoretical density (Mg/m³) = 11.89
- V (A^3/atom) = 15.9

abc: 2.836 2.836 8.514
angles: 91.54 91.54 68.76
Fractional positions:
Ta 0.000 0.000 0.000
Al 0.919 0.919 0.461
Cr 0.512 0.512 0.231
Au 0.580 0.580 0.716



Relative energies, unit meV/atom: version A 0; version B 126



Version A
A relaxed TaAlCrAu crystal, computed with PBE-GGA.

- SG = Imm2, No. 44
- theoretical density (Mg/m³) = 12.33
- V (A^3/atom) = 15.4

abc: 5.116 5.116 5.116
angles: 138.94 134.93 62.60
Fractional positions:
Ta 0.000 0.000 0.000
Al 0.254 0.754 0.500
Cr 0.496 0.496 0.000
Au 0.747 0.247 0.500



Version B
A relaxed TaAlCrAu crystal, computed with PBE-GGA.

- SG = Cm, No. 8
- theoretical density (Mg/m³) = 11.78
- V (A^3/atom) = 16.1

abc: 4.856 4.856 4.725
angles: 108.60 108.60 37.87
Fractional positions:
Ta 0.000 0.000 0.000
Al 0.236 0.236 0.655
Cr 0.733 0.733 0.141
Au 0.492 0.492 0.496



Relative energies, unit meV/atom: version A 0; version B 131



Version A
A relaxed Cs2AlAu2 crystal, computed with PBE-GGA.

- SG = R-3m, No. 166
- theoretical density (Mg/m³) = 5.43
- V (A^3/atom) = 42.0

abc: 11.781 11.781 11.781
angles: 22.49 22.49 22.49
Fractional positions:
Cs 0.075 0.075 0.075
Cs 0.925 0.925 0.925
Al 0.500 0.500 0.500
Au 0.183 0.183 0.183
Au 0.817 0.817 0.817



Version B
A relaxed Cs2AlAu2 crystal, computed with PBE-GGA.

- SG = P4/mbm, No. 127
- theoretical density (Mg/m³) = 7.12
- V (A^3/atom) = 32.0

abc: 7.344 7.344 5.941
angles: 90.00 90.00 90.00
Fractional positions:
Cs 0.173 0.327 0.000
Cs 0.327 0.827 0.000
Cs 0.673 0.173 0.000
Cs 0.827 0.673 0.000
Al 0.000 0.000 0.500
Al 0.500 0.500 0.500
Au 0.151 0.651 0.500
Au 0.349 0.151 0.500
Au 0.651 0.849 0.500
Au 0.849 0.349 0.500



Relative energies, unit meV/atom: version A 0; version B 204



Version A
A relaxed Cs2AlAuF6 crystal, computed with PBE-GGA.

- SG = Fm-3m, No. 225
- theoretical density (Mg/m³) = 5.68
- V (A^3/atom) = 17.6

abc: 6.295 6.295 6.295
angles: 60.00 60.00 60.00
Fractional positions:
Cs 0.250 0.250 0.250
Cs 0.750 0.750 0.750
Al 0.000 0.000 0.000
Au 0.500 0.500 0.500
F 0.208 0.208 0.792
F 0.208 0.792 0.208
F 0.208 0.792 0.792
F 0.792 0.208 0.208
F 0.792 0.208 0.792
F 0.792 0.792 0.208



Version B
A relaxed Cs2AlAuF6 crystal, computed with PBE-GGA.

- SG = I4/mmm, No. 139
- theoretical density (Mg/m³) = 5.25
- V (A^3/atom) = 19.1

abc: 6.318 6.318 6.318
angles: 113.84 113.84 101.05
Fractional positions:
Cs 0.250 0.750 0.500
Cs 0.750 0.250 0.500
Al 0.000 0.000 0.000
Au 0.500 0.500 0.000
F 0.185 0.185 0.369
F 0.185 0.815 0.000
F 0.243 0.243 0.000
F 0.757 0.757 0.000
F 0.815 0.185 0.000
F 0.815 0.815 0.631



Relative energies, unit meV/atom: version A 50; version B 0



Version A
A relaxed AlCuAu4 crystal, computed with PBE-GGA.

- SG = F-43m, No. 216
- theoretical density (Mg/m³) = 12.67
- V (A^3/atom) = 19.2

abc: 5.460 5.460 5.460
angles: 60.00 60.00 60.00
Fractional positions:
Al 0.000 0.000 0.000
Cu 0.250 0.250 0.250
Au 0.125 0.625 0.625
Au 0.625 0.125 0.625
Au 0.625 0.625 0.125
Au 0.625 0.625 0.625



Version B
A relaxed AlCuAu4 crystal, computed with PBE-GGA.

- SG = Cc, No. 9
- theoretical density (Mg/m³) = 14.51
- V (A^3/atom) = 16.7

abc: 5.297 5.297 8.950
angles: 114.31 114.31 66.96
Fractional positions:
Al 0.123 0.877 0.500
Al 0.877 0.123 0.000
Cu 0.378 0.624 0.000
Cu 0.624 0.378 0.500
Au 0.315 0.341 0.663
Au 0.341 0.315 0.163
Au 0.411 0.927 0.832
Au 0.427 0.902 0.337
Au 0.829 0.845 0.668
Au 0.845 0.829 0.168
Au 0.902 0.427 0.837
Au 0.927 0.411 0.332



Version C
A relaxed AlCuAu4 crystal, computed with PBE-GGA.

- SG = Cmmm, No. 65
- theoretical density (Mg/m³) = 13.70
- V (A^3/atom) = 17.7

abc: 12.677 12.677 4.098
angles: 90.00 90.00 161.14
Fractional positions:
Al 0.067 0.933 0.000
Al 0.933 0.067 0.000
Cu 0.287 0.713 0.500
Cu 0.713 0.287 0.500
Au 0.000 0.000 0.500
Au 0.132 0.868 0.500
Au 0.213 0.787 0.000
Au 0.368 0.632 0.000
Au 0.500 0.500 0.000
Au 0.632 0.368 0.000
Au 0.787 0.213 0.000
Au 0.868 0.132 0.500



Relative energies, unit meV/atom: version A 331; version B 10; version C 0



Version A
A relaxed Al2Cu6Au crystal, computed with PBE-GGA.

- SG = Immm, No. 71
- theoretical density (Mg/m³) = 8.47
- V (A^3/atom) = 13.8

abc: 6.829 6.829 6.829
angles: 144.72 137.20 56.62
Fractional positions:
Al 0.155 0.155 0.000
Al 0.845 0.845 0.000
Cu 0.148 0.393 0.755
Cu 0.285 0.785 0.500
Cu 0.362 0.607 0.755
Cu 0.638 0.393 0.245
Cu 0.715 0.215 0.500
Cu 0.852 0.607 0.245
Au 0.500 0.000 0.500



Version B
A relaxed Al2Cu6Au crystal, computed with PBE-GGA.

- SG = P-1, No. 2
- theoretical density (Mg/m³) = 8.82
- V (A^3/atom) = 13.2

abc: 4.498 4.647 6.056
angles: 83.08 74.42 77.97
Fractional positions:
Al 0.058 0.122 0.260
Al 0.942 0.878 0.740
Cu 0.164 0.340 0.839
Cu 0.266 0.566 0.383
Cu 0.391 0.772 0.953
Cu 0.609 0.228 0.047
Cu 0.734 0.434 0.617
Cu 0.836 0.660 0.161
Au 0.500 0.000 0.500



Relative energies, unit meV/atom: version A 68; version B 0